This record from Alexandria describes an optimized crystal structure of SbMoP2O. The functional is PBE+U. Values from VASP.

```
&SYSTEM
  ibrav = 0, nat = 5, ntyp = 4
/
ATOMIC_SPECIES
P 30.97 P.upf
Sb 121.76 Sb.upf
O 16.00 O.upf
Mo 95.94 Mo.upf
CELL_PARAMETERS angstrom
4.972 0.000 0.000
0.000 4.972 0.000
0.000 0.000 3.794
ATOMIC_POSITIONS angstrom
P 2.486 0.000 0.000
P 0.000 2.486 0.000
Sb 2.486 2.486 1.897
O 0.000 0.000 1.897
Mo 0.000 0.000 0.000
```

Calculated values
- Energy above the lowest structure with this stoichiometry: 0 meV/atom
- Total energy: -5.392 eV per atom
- D(E_F): 0.484 states/eV per atom
- SG: P4/mmm, No. 123

=====

This record from Alexandria describes an optimized crystal structure of SbMoP2O. The functional is PBE+U. Values from VASP.

```
&SYSTEM
  ibrav = 0, nat = 5, ntyp = 4
/
ATOMIC_SPECIES
Sb 121.76 Sb.upf
O 16.00 O.upf
Mo 95.94 Mo.upf
P 30.97 P.upf
CELL_PARAMETERS angstrom
-0.528 -4.221 2.755
4.733 0.537 1.730
-1.337 2.124 2.998
ATOMIC_POSITIONS angstrom
Sb 0.000 0.000 0.000
O -0.668 1.062 1.499
Mo 1.434 -0.780 3.741
P -0.264 -2.110 1.377
P 2.367 0.269 0.865
```

Calculated values
- Energy above the lowest structure with this stoichiometry: 545 meV/atom
- Total energy: -4.847 eV per atom
- D(E_F): 0.239 states/eV per atom
- SG: P4/mmm, No. 123

=====

This record from Alexandria describes an optimized crystal structure of ScMoP2O. The functional is PBE+U. Values from VASP.

```
&SYSTEM
  ibrav = 0, nat = 5, ntyp = 4
/
ATOMIC_SPECIES
P 30.97 P.upf
O 16.00 O.upf
Mo 95.94 Mo.upf
Sc 44.96 Sc.upf
CELL_PARAMETERS angstrom
-4.252 -1.291 2.038
2.255 -3.593 2.429
0.661 2.357 2.872
ATOMIC_POSITIONS angstrom
P 1.128 -1.797 1.215
O 0.331 1.178 1.436
Mo 0.000 0.000 0.000
Sc -0.668 -1.264 3.670
P -2.126 -0.646 1.019
```

Calculated values
- Energy above the lowest structure with this stoichiometry: 0 meV/atom
- Total energy: -6.285 eV per atom
- D(E_F): 0.322 states/eV per atom
- SG: P4/mmm, No. 123

=====

Q: The highest energy above the lowest structure with this stoichiometry belongs to which entry?
A: number 2

=====

Q: Look up the D(E_F) of the third one.
A: 0.322 states/eV per atom